Entry 1:
Material: CeNdIr
Method: DFT, PBE
State: optimized geometry

Cell: 3.6409 3.6409 6.0589 Å, 107.49 107.49 90.00°
With the nearest neighbours (Å) after each atom.
Positions (direct):
Ir: 0.6852 0.6852 0.3703  4 Ce 2.89, 4 Nd 3.22
Nd: 0.0095 0.0095 0.0191  5 Ir 3.22-3.56, 5 Ce 3.24-3.41
Ce: 0.3053 0.3053 0.6106  4 Ir 2.89

As for the calculated formation energy: -40.8 kJ/mol of atoms. The space group is I4mm, No. 107. The value obtained for the total energy is -20.8 eV for the cell shown. The distance to the lowest polymorph of the same formula is 117 meV/atom.

Entry 2:
Material: ZrMo2Se
Method: DFT, PBE
State: optimized geometry

Cell: 5.6346 5.6346 4.1648 Å, 68.47 68.47 35.07°
With the nearest neighbours (Å) after each atom.
Positions (direct):
Mo: 0.9977 0.9977 0.9940  4 Mo 2.63-2.74
Mo: 0.5023 0.5023 0.5060  4 Mo 2.63-2.74
Se: 0.7500 0.7500 0.7500  4 Zr 2.69
Zr: 0.2500 0.2500 0.2500  4 Se 2.69, 4 Mo 2.99

For the raw formation energy, the calculation gives -0.078 eV/atom. The space group is C2/m, No. 12. The value obtained for the total energy is -34.0 eV for the cell shown.

Volume readings, ordered: 72.71 70.11 Å³/cell